KVAsF6: relaxed, PBE+U.

POSCAR file:
```
KVAsF6
1.0
5.2941 0.0000 0.0000
0.0781 5.4891 0.0000
0.3619 2.6931 5.2959
K V As F
1 1 1 6
direct
0.0000 0.0000 0.0000
0.5461 0.3337 0.3101
0.4979 0.6532 0.6887
0.3024 0.0941 0.5767
0.3825 0.6708 0.2068
0.4019 0.2901 0.0213
0.6988 0.4139 0.5979
0.7120 0.9533 0.4134
0.8529 0.4720 0.1103
```

Summary:
Symmetry: No. 1
Total energy: -45.89 eV/cell